This record from Alexandria via LeMat-Bulk describes Al5W4 after structural relaxation. The functional is PBE.

Cell: 6.197 6.197 6.197 Å, 96.06 96.06 142.08°
Element x y z (fractional)
Al (0.000, 0.000, 0.000)
Al (0.329, 0.671, 0.000)
Al (0.671, 0.329, 0.000)
Al (0.329, 0.329, 0.658)
Al (0.671, 0.671, 0.342)
W (0.000, 0.674, 0.674)
W (0.674, 0.000, 0.674)
W (0.000, 0.326, 0.326)
W (0.326, 0.000, 0.326)

**E_form**: 0.06 eV/atom

This record from Alexandria via LeMat-Bulk describes PrHo2Tm6 after structural relaxation. The functional is PBE.

Cell: 4.987 10.557 10.557 Å, 90.00 90.00 90.00°
Element x y z (fractional)
Tm (0.500, 0.835, 0.000)
Tm (0.500, 0.165, 0.000)
Tm (0.000, 0.999, 0.835)
Tm (0.500, 0.499, 0.665)
Tm (0.000, 0.332, 0.168)
Tm (0.000, 0.668, 0.832)
Tm (0.000, 0.335, 0.500)
Tm (0.000, 0.001, 0.165)
Tm (0.000, 0.665, 0.500)
Tm (0.500, 0.168, 0.668)
Tm (0.500, 0.832, 0.332)
Tm (0.500, 0.501, 0.335)
Pr (0.500, 0.500, 0.000)
Pr (0.000, 0.000, 0.500)
Ho (0.500, 0.169, 0.332)
Ho (0.500, 0.831, 0.668)
Ho (0.000, 0.331, 0.832)
Ho (0.000, 0.669, 0.168)

**Distance to the lowest polymorph of the same formula**: 0.0053 eV/atom
**E_form**: 0.03 eV/atom

This record from Alexandria via LeMat-Bulk describes Pm3Si4Rh after structural relaxation. The functional is PBE.

Cell: 4.459 5.662 8.188 Å, 110.23 105.80 90.00°
Element x y z (fractional)
Pm (0.000, 0.500, 0.000)
Pm (0.193, 0.193, 0.386)
Pm (0.807, 0.807, 0.614)
Si (0.618, 0.828, 0.237)
Si (0.618, 0.409, 0.237)
Si (0.382, 0.172, 0.763)
Si (0.382, 0.591, 0.763)
Rh (0.500, 0.000, 0.000)

**ΔE_f (raw)**: -0.65 eV per atom

This record from Alexandria via LeMat-Bulk describes Ba2CaW after structural relaxation. The functional is PBE.

Cell: 12.452 12.452 12.452 Å, 17.40 17.40 17.40°
Last column: magnetic moment on the atom in μB.
Element x y z (fractional)
Ba (0.483, 0.483, 0.483)  0.01
Ba (0.017, 0.017, 0.017)  0.01
W (0.750, 0.750, 0.750)  1.25
Ca (0.250, 0.250, 0.250)  -0.02

**Distance to the lowest polymorph of the same formula**: 0.1169 eV/atom
**E_form**: 1.10 eV/atom